MgAlZn2 | SCAN | PBEsol geometry

Cell and atoms, written as CIF:
```
data_MgAlZn2
_chemical_formula_sum 'Mg1 Al1 Zn2'
_space_group_name_H-M_alt 'P 1'
_space_group_IT_number 1
_cell_length_a 4.1470
_cell_length_b 4.1470
_cell_length_c 4.7842
_cell_angle_alpha 115.68
_cell_angle_beta 115.68
_cell_angle_gamma 90.00
loop_
_space_group_symop_operation_xyz
'x,y,z'
loop_
_atom_site_label
_atom_site_fract_x
_atom_site_fract_y
_atom_site_fract_z
Zn1 0.7500 0.2500 0.5000
Al1 0.0000 0.0000 0.0000
Mg1 0.5000 0.5000 0.0000
Zn2 0.2500 0.7500 0.5000
```

## Properties
space group = I4/mmm
total magnetic moment = 0.00 μB/atom
E_form = -0.047 eV per atom
crystal system = tetragonal